one.
# La2ZrCu, relaxed, DFT GGA-PBE
# DOS at the Fermi energy in states/eV/f.u.: 4.95
data_La2ZrCu
_cell_length_a 11.920
_cell_length_b 5.149
_cell_length_c 3.639
_cell_angle_alpha 90.00
_cell_angle_beta 90.89
_cell_angle_gamma 90.00
_space_group_name_H-M_alt 'C 1 m 1'
_space_group_IT_number 8
loop_
_space_group_symop_operation_xyz
'x,y,z'
'x,-y,z'
'x+1/2,y+1/2,z'
'x+1/2,-y+1/2,z'
loop_
_atom_site_label
_atom_site_type_symbol
_atom_site_fract_x
_atom_site_fract_y
_atom_site_fract_z
La1 La 0.000 0.000 0.000
La2 La 0.204 0.500 0.491
Zr1 Zr 0.416 0.000 0.495
Cu1 Cu 0.256 0.000 0.988



two.
# La2ZrCu, relaxed, DFT GGA-PBE
# DOS at the Fermi energy in states/eV/f.u.: 3.54
data_La2ZrCu
_cell_length_a 3.5185
_cell_length_b 3.5185
_cell_length_c 10.1350
_cell_angle_alpha 90.00
_cell_angle_beta 90.00
_cell_angle_gamma 120.00
_space_group_name_H-M_alt 'P -3 m 1'
_space_group_IT_number 164
_space_group_name_Hall '-P 3 2"'
loop_
_atom_site_label
_atom_site_type_symbol
_atom_site_fract_x
_atom_site_fract_y
_atom_site_fract_z
La1 La 0.3333 0.6667 0.2738
Zr1 Zr 0.0000 0.0000 0.0000
Cu1 Cu 0.0000 0.0000 0.5000



The structure with the greatest stability is one.